The following is a PBE calculation of a geometry-optimized LiPmSn5 structure, from Alexandria via LeMat-Bulk.

a b c (Å): 4.5289 4.5289 8.9447
angles (deg): 90.00 90.00 90.00
Last column: nearest neighbours and their distance in Å.
Fractional positions:
1 Li 0.5000 0.5000 0.0000  8 Sn 2.94
2 Pm 0.0000 0.0000 0.5000  12 Sn 3.20-3.44
3 Sn 0.0000 0.5000 0.7901  2 Li 2.94, 4 Sn 3.20
4 Sn 0.0000 0.5000 0.2099  2 Li 2.94, 4 Sn 3.20
5 Sn 0.5000 0.0000 0.7901  2 Li 2.94, 4 Sn 3.20
6 Sn 0.5000 0.0000 0.2099  2 Li 2.94, 4 Sn 3.20
7 Sn 0.5000 0.5000 0.5000  4 Pm 3.20, 8 Sn 3.44

## Properties
The theoretical density comes out at 6.747 g/cm3. The value obtained for the total energy is -29.01 eV/f.u. The value obtained for the total moment is 0.00 μB/f.u. Its space-group type is No. 123. Its formation energy is -0.3331 eV per atom.